No. 1
Below is a relaxed FePbSeN2 crystal, with properties calculated at the PBE level.

Output
Fermi-level density of states (states/eV/cell): 3.6
Energy above the lowest structure with this stoichiometry (eV/atom): 0.000
Theoretical density (Mg/m³): 8.20

Cell: 3.849 3.849 5.060 Å, 90.00 90.00 90.00°
Positions (direct):
Fe: 0.000 0.000 0.000
Pb: 0.500 0.500 0.500
Se: 0.000 0.000 0.500
N: 0.000 0.500 0.000
N: 0.500 0.000 0.000

No. 2
Below is a relaxed Tb2TcHg crystal, with properties calculated at the PBE level.

Output
Fermi-level density of states (states/eV/cell): 4.0
ΔH_f (0 K) (eV per atom): -0.2488
Theoretical density (Mg/m³): 11.02

Cell: 3.529 3.529 7.456 Å, 90.00 90.00 90.00°
Positions (direct):
Tb: 0.000 0.000 0.220
Tb: 0.000 0.000 0.780
Tc: 0.500 0.500 0.000
Hg: 0.500 0.500 0.500

No. 3
Below is a relaxed In3Ir crystal, with properties calculated at the PBE level.

Output
Fermi-level density of states (states/eV/cell): 0.7
ΔH_f (0 K) (eV per atom): 0.0724
Theoretical density (Mg/m³): 11.05

Cell: 5.444 5.444 5.444 Å, 90.00 90.00 90.00°
Positions (direct):
In: 0.000 0.250 0.500
In: 0.000 0.750 0.500
In: 0.250 0.500 0.000
In: 0.500 0.000 0.250
In: 0.500 0.000 0.750
In: 0.750 0.500 0.000
Ir: 0.000 0.000 0.000
Ir: 0.500 0.500 0.500

No. 4
Below is a relaxed CaReHg3 crystal, with properties calculated at the PBE level.

Output
Fermi-level density of states (states/eV/cell): 3.1
ΔH_f (0 K) (eV per atom): 0.4785
Energy above the lowest structure with this stoichiometry (eV/atom): 0.000
Theoretical density (Mg/m³): 9.57

Cell: 5.237 5.237 5.237 Å, 90.00 90.00 90.00°
Positions (direct):
Ca: 0.000 0.000 0.000
Re: 0.500 0.500 0.500
Hg: 0.000 0.500 0.500
Hg: 0.500 0.000 0.500
Hg: 0.500 0.500 0.000

No. 5
Below is a relaxed Al2VTe crystal, with properties calculated at the PBE level.

Output
Fermi-level density of states (states/eV/cell): 14.3
Energy above the lowest structure with this stoichiometry (eV/atom): 0.000
Theoretical density (Mg/m³): 4.55

Cell: 7.719 7.719 5.698 Å, 90.00 90.00 90.00°
Positions (direct):
Al: 0.242 0.250 0.125
Al: 0.250 0.742 0.375
Al: 0.250 0.758 0.875
Al: 0.258 0.250 0.625
Al: 0.742 0.750 0.625
Al: 0.750 0.242 0.875
Al: 0.750 0.258 0.375
Al: 0.758 0.750 0.125
V: 0.000 0.000 0.000
V: 0.000 0.500 0.250
V: 0.500 0.000 0.750
V: 0.500 0.500 0.500
Te: 0.000 0.000 0.500
Te: 0.000 0.500 0.750
Te: 0.500 0.000 0.250
Te: 0.500 0.500 0.000

No. 6
Below is a relaxed CeGa3Au2 crystal, with properties calculated at the PBE level.

Output
Fermi-level density of states (states/eV/cell): 11.9
ΔH_f (0 K) (eV per atom): -0.4900
Theoretical density (Mg/m³): 10.14

Cell: 8.331 8.331 7.548 Å, 116.89 116.89 31.78°
Positions (direct):
Ce: 0.134 0.134 0.136
Ce: 0.866 0.866 0.864
Ga: 0.002 0.002 0.661
Ga: 0.328 0.328 0.128
Ga: 0.329 0.329 0.527
Ga: 0.671 0.671 0.473
Ga: 0.672 0.672 0.872
Ga: 0.998 0.998 0.339
Au: 0.197 0.197 0.696
Au: 0.500 0.500 0.182
Au: 0.500 0.500 0.818
Au: 0.803 0.803 0.304

No. 7
Below is a relaxed CdAg2HPd crystal, with properties calculated at the PBE level.

Output
Fermi-level density of states (states/eV/cell): 1.8
Energy above the lowest structure with this stoichiometry (eV/atom): 0.136
Theoretical density (Mg/m³): 9.73

Cell: 4.056 4.056 4.521 Å, 90.00 90.00 90.00°
Positions (direct):
Cd: 0.000 0.000 0.000
Ag: 0.000 0.500 0.500
Ag: 0.500 0.000 0.500
H: 0.000 0.000 0.500
Pd: 0.500 0.500 0.000

No. 8
Below is a relaxed Be3PbF crystal, with properties calculated at the PBE level.

Output
DFT total energy (Ry/atom): -0.1798
Fermi-level density of states (states/eV/cell): 2.2
Theoretical density (Mg/m³): 4.20

Cell: 4.643 4.643 4.643 Å, 90.00 90.00 90.00°
Positions (direct):
Be: 0.000 0.000 0.500
Be: 0.000 0.500 0.000
Be: 0.500 0.000 0.000
Pb: 0.000 0.000 0.000
F: 0.500 0.500 0.500

No. 9
Below is a relaxed NaPr3Tc crystal, with properties calculated at the PBE level.

Output
Fermi-level density of states (states/eV/cell): 5.1
ΔH_f (0 K) (eV per atom): 0.2061
Theoretical density (Mg/m³): 5.16

Cell: 5.594 5.594 5.594 Å, 90.00 90.00 90.00°
Positions (direct):
Na: 0.000 0.000 0.000
Pr: 0.000 0.500 0.500
Pr: 0.500 0.000 0.500
Pr: 0.500 0.500 0.000
Tc: 0.500 0.500 0.500

No. 10
Below is a relaxed NdY2Tm2Mg5 crystal, with properties calculated at the PBE level.

Output
Fermi-level density of states (states/eV/cell): 20.0
ΔH_f (0 K) (eV per atom): 0.0739
Theoretical density (Mg/m³): 4.51

Cell: 10.632 10.632 5.091 Å, 90.00 90.00 90.00°
Positions (direct):
Nd: 0.000 0.000 0.000
Nd: 0.500 0.500 0.000
Y: 0.178 0.322 0.000
Y: 0.322 0.822 0.000
Y: 0.678 0.178 0.000
Y: 0.822 0.678 0.000
Tm: 0.117 0.617 0.000
Tm: 0.383 0.117 0.000
Tm: 0.617 0.883 0.000
Tm: 0.883 0.383 0.000
Mg: 0.000 0.500 0.500
Mg: 0.075 0.801 0.500
Mg: 0.199 0.075 0.500
Mg: 0.301 0.575 0.500
Mg: 0.425 0.301 0.500
Mg: 0.500 0.000 0.500
Mg: 0.575 0.699 0.500
Mg: 0.699 0.425 0.500
Mg: 0.801 0.925 0.500
Mg: 0.925 0.199 0.500

No. 11
Below is a relaxed TmZnGa3 crystal, with properties calculated at the PBE level.

Output
Fermi-level density of states (states/eV/cell): 4.7
ΔH_f (0 K) (eV per atom): -0.2267
Theoretical density (Mg/m³): 7.44

Cell: 5.602 3.063 11.538 Å, 90.00 90.00 90.00°
Positions (direct):
Tm: 0.250 0.000 0.193
Tm: 0.750 0.000 0.807
Zn: 0.250 0.500 0.801
Zn: 0.750 0.500 0.199
Ga: 0.000 0.500 0.000
Ga: 0.008 0.500 0.390
Ga: 0.492 0.500 0.390
Ga: 0.500 0.500 0.000
Ga: 0.508 0.500 0.610
Ga: 0.992 0.500 0.610

No. 12
Below is a relaxed ZrTa2Ag crystal, with properties calculated at the PBE level.

Output
Fermi-level density of states (states/eV/cell): 3.8
ΔH_f (0 K) (eV per atom): 0.2193
Energy above the lowest structure with this stoichiometry (eV/atom): 0.121
Theoretical density (Mg/m³): 12.10

Cell: 2.879 4.697 5.831 Å, 90.00 102.59 90.00°
Positions (direct):
Zr: 0.000 0.000 0.000
Ta: 0.223 0.500 0.740
Ta: 0.451 0.000 0.533
Ag: 0.688 0.500 0.257

No. 13
Below is a relaxed Sr3TbPt8 crystal, with properties calculated at the PBE level.

Output
Fermi-level density of states (states/eV/cell): 9.5
ΔH_f (0 K) (eV per atom): -0.9169
Theoretical density (Mg/m³): 13.68

Cell: 9.576 9.576 9.576 Å, 33.68 33.68 33.68°
Positions (direct):
Sr: 0.000 0.000 0.000
Sr: 0.124 0.124 0.124
Sr: 0.627 0.627 0.627
Tb: 0.501 0.501 0.501
Pt: 0.063 0.063 0.557
Pt: 0.063 0.557 0.063
Pt: 0.069 0.563 0.563
Pt: 0.313 0.313 0.313
Pt: 0.557 0.063 0.063
Pt: 0.563 0.069 0.563
Pt: 0.563 0.563 0.069
Pt: 0.813 0.813 0.813

No. 14
Below is a relaxed Dy3MnTe6 crystal, with properties calculated at the PBE level.

Output
DFT total energy (Ry/atom): -0.3818
Fermi-level density of states (states/eV/cell): 7.7
Theoretical density (Mg/m³): 6.74

Cell: 9.472 9.472 7.311 Å, 90.00 90.00 100.62°
Positions (direct):
Dy: 0.099 0.901 0.500
Dy: 0.225 0.420 0.602
Dy: 0.420 0.225 0.102
Dy: 0.580 0.775 0.602
Dy: 0.775 0.580 0.102
Dy: 0.901 0.099 0.000
Mn: 0.291 0.709 0.146
Mn: 0.709 0.291 0.646
Te: 0.057 0.594 0.325
Te: 0.127 0.200 0.300
Te: 0.200 0.127 0.800
Te: 0.274 0.726 0.780
Te: 0.406 0.943 0.325
Te: 0.460 0.540 0.294
Te: 0.540 0.460 0.794
Te: 0.594 0.057 0.825
Te: 0.726 0.274 0.280
Te: 0.800 0.873 0.300
Te: 0.873 0.800 0.800
Te: 0.943 0.406 0.825

No. 15
Below is a relaxed Mn2CrRu crystal, with properties calculated at the PBE level.

Output
Fermi-level density of states (states/eV/cell): 19.9
ΔH_f (0 K) (eV per atom): 0.6747
Theoretical density (Mg/m³): 8.37

Cell: 3.437 3.437 17.664 Å, 90.00 90.00 90.00°
Positions (direct):
Mn: 0.209 0.250 0.125
Mn: 0.250 0.709 0.375
Mn: 0.250 0.791 0.875
Mn: 0.291 0.250 0.625
Mn: 0.709 0.750 0.625
Mn: 0.750 0.209 0.875
Mn: 0.750 0.291 0.375
Mn: 0.791 0.750 0.125
Cr: 0.000 0.000 0.000
Cr: 0.000 0.500 0.250
Cr: 0.500 0.000 0.750
Cr: 0.500 0.500 0.500
Ru: 0.000 0.000 0.500
Ru: 0.000 0.500 0.750
Ru: 0.500 0.000 0.250
Ru: 0.500 0.500 0.000

No. 16
Below is a relaxed LiPu2Br6 crystal, with properties calculated at the PBE level.

Output
Fermi-level density of states (states/eV/cell): 26.1
Energy above the lowest structure with this stoichiometry (eV/atom): 0.000
Theoretical density (Mg/m³): 5.03

Cell: 7.338 7.338 6.894 Å, 90.00 90.00 120.00°
Positions (direct):
Li: 0.000 0.000 0.000
Pu: 0.333 0.667 0.000
Pu: 0.667 0.333 0.000
Br: 0.000 0.323 0.228
Br: 0.000 0.677 0.772
Br: 0.323 0.000 0.228
Br: 0.323 0.323 0.772
Br: 0.677 0.000 0.772
Br: 0.677 0.677 0.228

No. 17
Below is a relaxed HfTl3F crystal, with properties calculated at the PBE level.

Output
Fermi-level density of states (states/eV/cell): 2.3
Energy above the lowest structure with this stoichiometry (eV/atom): 0.000
Theoretical density (Mg/m³): 11.11

Cell: 4.948 4.948 4.948 Å, 90.00 90.00 90.00°
Positions (direct):
Hf: 0.000 0.000 0.000
Tl: 0.000 0.500 0.500
Tl: 0.500 0.000 0.500
Tl: 0.500 0.500 0.000
F: 0.500 0.500 0.500

No. 18
Below is a relaxed Y2SeS2 crystal, with properties calculated at the PBE level.

Output
Fermi-level density of states (states/eV/cell): 0.0
Energy above the lowest structure with this stoichiometry (eV/atom): 0.179
Theoretical density (Mg/m³): 4.08

Cell: 6.967 6.967 6.312 Å, 110.86 110.86 93.36°
Positions (direct):
Y: 0.097 0.903 0.750
Y: 0.338 0.662 0.250
Y: 0.662 0.338 0.750
Y: 0.903 0.097 0.250
Se: 0.372 0.628 0.750
Se: 0.628 0.372 0.250
S: 0.058 0.281 0.023
S: 0.281 0.058 0.523
S: 0.719 0.942 0.477
S: 0.942 0.719 0.977

No. 19
Below is a relaxed Tl2Pb2Se3 crystal, with properties calculated at the PBE level.

Output
DFT total energy (Ry/atom): -0.2710
Theoretical density (Mg/m³): 7.67

Cell: 14.626 4.396 7.151 Å, 90.00 93.72 90.00°
Positions (direct):
Tl: 0.111 0.000 0.395
Tl: 0.389 0.500 0.605
Tl: 0.611 0.500 0.395
Tl: 0.889 0.000 0.605
Pb: 0.133 0.500 0.882
Pb: 0.367 0.000 0.118
Pb: 0.633 0.000 0.882
Pb: 0.867 0.500 0.118
Se: 0.000 0.000 0.000
Se: 0.230 0.500 0.237
Se: 0.270 0.000 0.763
Se: 0.500 0.500 0.000
Se: 0.730 0.000 0.237
Se: 0.770 0.500 0.763

No. 20
Below is a relaxed CaMn2Rh crystal, with properties calculated at the PBE level.

Output
Fermi-level density of states (states/eV/cell): 7.7
ΔH_f (0 K) (eV per atom): 0.3575
Theoretical density (Mg/m³): 6.05

Cell: 5.540 9.513 2.911 Å, 90.00 115.20 90.00°
Positions (direct):
Ca: 0.000 0.000 0.000
Ca: 0.500 0.500 0.000
Mn: 0.250 0.250 0.500
Mn: 0.250 0.750 0.500
Mn: 0.750 0.250 0.500
Mn: 0.750 0.750 0.500
Rh: 0.000 0.500 0.000
Rh: 0.500 0.000 0.000

No. 21
Below is a relaxed Rb2YAg2Br6 crystal, with properties calculated at the PBE level.

Output
DFT total energy (Ry/atom): -0.2523
Fermi-level density of states (states/eV/cell): 2.0
Theoretical density (Mg/m³): 3.74

Cell: 7.876 7.876 8.782 Å, 114.85 114.85 63.66°
Positions (direct):
Rb: 0.214 0.214 0.159
Rb: 0.786 0.786 0.841
Y: 0.000 0.000 0.500
Ag: 0.448 0.448 0.822
Ag: 0.552 0.552 0.178
Br: 0.170 0.704 0.232
Br: 0.225 0.225 0.556
Br: 0.296 0.830 0.768
Br: 0.704 0.170 0.232
Br: 0.775 0.775 0.444
Br: 0.830 0.296 0.768

No. 22
Below is a relaxed CaNdRu4 crystal, with properties calculated at the PBE level.

Output
Fermi-level density of states (states/eV/cell): 10.8
ΔH_f (0 K) (eV per atom): -0.0187
Theoretical density (Mg/m³): 8.83

Cell: 5.389 5.389 5.389 Å, 60.00 60.00 60.00°
Positions (direct):
Ca: 0.000 0.000 0.000
Nd: 0.250 0.250 0.250
Ru: 0.125 0.625 0.625
Ru: 0.625 0.125 0.625
Ru: 0.625 0.625 0.125
Ru: 0.625 0.625 0.625

No. 23
Below is a relaxed Mg2In crystal, with properties calculated at the PBE level.

Output
Fermi-level density of states (states/eV/cell): 15.2
ΔH_f (0 K) (eV per atom): -0.0114
Theoretical density (Mg/m³): 3.72

Cell: 9.383 9.383 9.383 Å, 60.00 60.00 60.00°
Positions (direct):
Mg: 0.000 0.000 0.000
Mg: 0.000 0.000 0.500
Mg: 0.000 0.500 0.000
Mg: 0.184 0.184 0.566
Mg: 0.184 0.566 0.184
Mg: 0.184 0.566 0.566
Mg: 0.434 0.434 0.816
Mg: 0.434 0.816 0.434
Mg: 0.434 0.816 0.816
Mg: 0.500 0.000 0.000
Mg: 0.566 0.184 0.184
Mg: 0.566 0.184 0.566
Mg: 0.566 0.566 0.184
Mg: 0.816 0.434 0.434
Mg: 0.816 0.434 0.816
Mg: 0.816 0.816 0.434
In: 0.155 0.782 0.782
In: 0.218 0.218 0.218
In: 0.218 0.218 0.845
In: 0.218 0.845 0.218
In: 0.782 0.155 0.782
In: 0.782 0.782 0.155
In: 0.782 0.782 0.782
In: 0.845 0.218 0.218